1.
The following is a PBE-GGA calculation of a relaxed KSiS3 crystal, from Alexandria.

Lattice parameters (Å, degrees): 5.0363 7.5323 7.5324 75.95 90.00 90.00
Closest atoms and distances in Å follow each position.
Fractional positions:
1 S 0.6974 0.6730 0.1155  1 Si 2.08
2 S 0.7500 0.6061 0.6061  2 Si 2.18
3 S 0.8026 0.1155 0.6730  1 Si 2.08
4 S 0.2500 0.3939 0.3939  2 Si 2.18
5 S 0.1974 0.3270 0.8844  1 Si 2.08
6 S 0.3026 0.8844 0.3270  1 Si 2.08
7 Si 0.5000 0.6349 0.3650  4 S 2.08-2.18
8 Si 0.0000 0.3651 0.6349  4 S 2.08-2.18
9 K 0.2500 0.8196 0.8196  2 S 3.17
10 K 0.7500 0.1804 0.1804  2 S 3.17

Computed properties:
N(E_F) in states/eV/f.u.: 0.72
E_tot in eV/cell: -44.56
Density in g cm⁻³: 1.96
Formation energy (no corrections) in kJ per mole of atoms: -65
Size of the total moment in μB per formula unit: 1.04



2.
The following is a PBE-GGA calculation of a relaxed AlAgSN2 crystal, from Alexandria.

Lattice parameters (Å, degrees): 4.0244 4.0244 5.3801 90.00 90.00 90.00
Closest atoms and distances in Å follow each position.
Fractional positions:
1 Al 0.5000 0.5000 0.5000  4 S 2.85
2 S 0.0000 0.0000 0.5000  2 Ag 2.69, 4 Al 2.85
3 N 0.5000 0.0000 0.0000  2 Ag 2.01
4 N 0.0000 0.5000 0.0000  2 Ag 2.01
5 Ag 0.0000 0.0000 0.0000  4 N 2.01

Computed properties:
Polymorph energy (0 for the lowest one) in meV/atom: 965
N(E_F) in states/eV/f.u.: 1.60
E_tot in eV/cell: -18.91
Density in g cm⁻³: 3.71
Formation energy (no corrections) in kJ per mole of atoms: 163
Size of the total moment in μB per formula unit: 3.12



3.
The following is a PBE-GGA calculation of a relaxed Sb2TeBrCl crystal, from Alexandria.

Lattice parameters (Å, degrees): 5.6048 5.6048 5.6005 90.00 90.00 90.00
Closest atoms and distances in Å follow each position.
Fractional positions:
1 Te 0.0000 0.0000 0.5000  2 Br 2.80
2 Br 0.0000 0.0000 0.0000  2 Te 2.80, 4 Sb 2.80
3 Sb 0.5000 0.0000 0.0000  2 Br 2.80
4 Sb 0.0000 0.5000 0.0000  2 Br 2.80
5 Cl 0.5000 0.5000 0.5000  8 Sb 3.96, 4 Te 3.96

Computed properties:
Polymorph energy (0 for the lowest one) in meV/atom: 102
N(E_F) in states/eV/f.u.: 4.74
E_tot in eV/cell: -10.66
Density in g cm⁻³: 4.59
Formation energy (no corrections) in kJ per mole of atoms: 82
Size of the total moment in μB per formula unit: 0.18



4.
The following is a PBE-GGA calculation of a relaxed ZnHg3 crystal, from Alexandria.

Lattice parameters (Å, degrees): 4.2176 4.1213 6.1593 90.00 65.78 90.00
Closest atoms and distances in Å follow each position.
Fractional positions:
1 Hg 0.9507 0.0000 0.9856  2 Zn 2.84, 2 Hg 2.96-2.99
2 Hg 0.2500 0.5000 0.2500  2 Zn 2.93, 4 Hg 3.19
3 Hg 0.5493 0.0000 0.5144  2 Zn 2.84, 2 Hg 2.96-2.99
4 Zn 0.7500 0.5000 0.7500  6 Hg 2.84-2.93

Computed properties:
Polymorph energy (0 for the lowest one) in meV/atom: 12
N(E_F) in states/eV/f.u.: 0.74
E_tot in eV/cell: -1.86
Density in g cm⁻³: 11.35
ΔH_f (0 K) in eV per atom: 0.080
Size of the total moment in μB per formula unit: 0.00



5.
The following is a PBE-GGA calculation of a relaxed SrZnCr2 crystal, from Alexandria.

Lattice parameters (Å, degrees): 2.7123 2.7123 9.0910 90.00 90.00 90.12
Closest atoms and distances in Å follow each position.
Fractional positions:
1 Cr 0.0000 0.0000 0.5465  4 Zn 2.66-2.67, 4 Cr 2.71
2 Cr 0.0000 0.0000 0.9535  4 Zn 2.66-2.67, 4 Cr 2.71
3 Zn 0.5000 0.5000 0.7500  8 Cr 2.66-2.67, 4 Zn 2.71
4 Sr 0.5000 0.5000 0.2500  4 Sr 2.71

Computed properties:
N(E_F) in states/eV/f.u.: 4.21
E_tot in eV/cell: -17.97
Density in g cm⁻³: 6.38
ΔH_f (0 K) in eV per atom: 1.058
Size of the total moment in μB per formula unit: 0.00



6.
The following is a PBE-GGA calculation of a relaxed MnAl2Au crystal, from Alexandria.

Lattice parameters (Å, degrees): 4.9054 4.9054 4.4547 74.53 74.53 35.79
Closest atoms and distances in Å follow each position.
Fractional positions:
1 Mn 0.2559 0.2559 0.1887  7 Al 2.61-2.76, 2 Au 2.90
2 Al 0.9936 0.9936 0.0554  3 Mn 2.61-2.68, 4 Au 2.67-2.71, 2 Al 2.89
3 Al 0.7507 0.7507 0.7105  4 Mn 2.62-2.76, 3 Au 2.65-2.69, 2 Al 2.89
4 Au 0.4997 0.4997 0.5453  7 Al 2.65-2.71, 2 Mn 2.90

Computed properties:
N(E_F) in states/eV/f.u.: 2.14
E_tot in eV/cell: -20.84
Density in g cm⁻³: 8.44
ΔH_f (0 K) in eV per atom: -0.226
Size of the total moment in μB per formula unit: 2.24



7.
The following is a PBE-GGA calculation of a relaxed Ho2MnOs crystal, from Alexandria.

Lattice parameters (Å, degrees): 3.4276 3.4276 7.0824 90.00 90.00 90.00
Closest atoms and distances in Å follow each position.
Fractional positions:
1 Ho 0.0000 0.0000 0.7668  4 Os 2.93, 4 Mn 3.07
2 Ho 0.0000 0.0000 0.2332  4 Os 2.93, 4 Mn 3.07
3 Mn 0.5000 0.5000 0.5000  8 Ho 3.07, 4 Mn 3.43
4 Os 0.5000 0.5000 0.0000  8 Ho 2.93

Computed properties:
Polymorph energy (0 for the lowest one) in meV/atom: 13
N(E_F) in states/eV/f.u.: 2.64
E_tot in eV/cell: -29.61
Density in g cm⁻³: 11.48
ΔH_f (0 K) in eV per atom: -0.015
Size of the total moment in μB per formula unit: 3.38



8.
The following is a PBE-GGA calculation of a relaxed Mn2ReI crystal, from Alexandria.

Lattice parameters (Å, degrees): 4.4811 4.4811 4.4811 60.00 60.00 60.00
Closest atoms and distances in Å follow each position.
Fractional positions:
1 Re 0.5000 0.5000 0.5000  8 Mn 2.74
2 I 0.0000 0.0000 0.0000  8 Mn 2.74
3 Mn 0.2500 0.2500 0.2500  4 Re 2.74, 4 I 2.74
4 Mn 0.7500 0.7500 0.7500  4 Re 2.74, 4 I 2.74

Computed properties:
Polymorph energy (0 for the lowest one) in meV/atom: 0
N(E_F) in states/eV/f.u.: 6.05
E_tot in eV/cell: -27.65
Density in g cm⁻³: 11.04
Formation energy (no corrections) in kJ per mole of atoms: 113
Size of the total moment in μB per formula unit: 4.81



9.
The following is a PBE-GGA calculation of a relaxed NdNi3Ge3 crystal, from Alexandria.

Lattice parameters (Å, degrees): 6.4267 6.4267 6.4267 90.00 90.00 90.00
Closest atoms and distances in Å follow each position.
Fractional positions:
1 Nd 0.5000 0.5000 0.5000  12 Ge 3.59, 12 Ni 3.59
2 Nd 0.0000 0.0000 0.0000  12 Ge 3.59, 12 Ni 3.59
3 Ni 0.5000 0.2500 0.0000  4 Ge 2.27
4 Ni 0.0000 0.5000 0.7500  4 Ge 2.27
5 Ni 0.0000 0.5000 0.2500  4 Ge 2.27
6 Ni 0.5000 0.7500 0.0000  4 Ge 2.27
7 Ni 0.7500 0.0000 0.5000  4 Ge 2.27
8 Ni 0.2500 0.0000 0.5000  4 Ge 2.27
9 Ge 0.5000 0.0000 0.2500  4 Ni 2.27
10 Ge 0.0000 0.7500 0.5000  4 Ni 2.27
11 Ge 0.2500 0.5000 0.0000  4 Ni 2.27
12 Ge 0.0000 0.2500 0.5000  4 Ni 2.27
13 Ge 0.7500 0.5000 0.0000  4 Ni 2.27
14 Ge 0.5000 0.0000 0.7500  4 Ni 2.27

Computed properties:
Polymorph energy (0 for the lowest one) in meV/atom: 84
N(E_F) in states/eV/f.u.: 5.31
E_tot in eV/cell: -75.09
Density in g cm⁻³: 6.73
ΔH_f (0 K) in eV per atom: -0.226
Size of the total moment in μB per formula unit: 0.00



10.
The following is a PBE-GGA calculation of a relaxed PmPr5Ga6 crystal, from Alexandria.

Lattice parameters (Å, degrees): 5.2510 9.1024 9.1060 60.01 73.24 54.75
Closest atoms and distances in Å follow each position.
Fractional positions:
1 Ga 0.7445 0.7558 0.0000  2 Pm 3.19, 6 Pr 3.22-3.24
2 Ga 0.7528 0.4123 0.6695  1 Pm 3.19, 7 Pr 3.20-3.24
3 Ga 0.2472 0.5877 0.3305  1 Pm 3.19, 7 Pr 3.20-3.24
4 Ga 0.7528 0.0818 0.3305  1 Pm 3.19, 7 Pr 3.20-3.24
5 Ga 0.2472 0.9182 0.6695  1 Pm 3.19, 7 Pr 3.20-3.24
6 Ga 0.2555 0.2442 0.0000  2 Pm 3.19, 6 Pr 3.22-3.24
7 Pr 0.0000 0.6656 0.6689  8 Ga 3.23-3.24
8 Pr 0.0000 0.3344 0.3311  8 Ga 3.23-3.24
9 Pr 0.5000 0.1687 0.6626  8 Ga 3.20-3.22
10 Pr 0.5000 0.8313 0.3374  8 Ga 3.20-3.22
11 Pr 0.5000 0.5000 0.0000  8 Ga 3.21-3.24
12 Pm 0.0000 0.0000 0.0000  8 Ga 3.19

Computed properties:
N(E_F) in states/eV/f.u.: 4.81
E_tot in eV/cell: -53.37
Density in g cm⁻³: 6.84
ΔH_f (0 K) in eV per atom: -0.546
Size of the total moment in μB per formula unit: 0.00



11.
The following is a PBE-GGA calculation of a relaxed AcCe2Sb crystal, from Alexandria.

Lattice parameters (Å, degrees): 4.9920 4.9244 4.9244 90.00 90.00 90.00
Closest atoms and distances in Å follow each position.
Fractional positions:
1 Ce 0.0000 0.0000 0.5000  4 Ce 3.48, 4 Ac 3.51, 4 Sb 3.51
2 Ce 0.0000 0.5000 0.0000  4 Ce 3.48, 4 Ac 3.51, 4 Sb 3.51
3 Ac 0.5000 0.5000 0.5000  4 Sb 3.48, 8 Ce 3.51
4 Sb 0.5000 0.0000 0.0000  4 Ac 3.48, 8 Ce 3.51

Computed properties:
Polymorph energy (0 for the lowest one) in meV/atom: 37
N(E_F) in states/eV/f.u.: 10.54
E_tot in eV/cell: -21.83
Density in g cm⁻³: 8.63
Formation energy (no corrections) in kJ per mole of atoms: -42
Size of the total moment in μB per formula unit: 2.19



12.
The following is a PBE-GGA calculation of a relaxed Ta2TlP crystal, from Alexandria.

Lattice parameters (Å, degrees): 7.1510 7.1510 7.1510 152.85 151.58 39.71
Closest atoms and distances in Å follow each position.
Fractional positions:
1 Ta 0.2616 0.7616 0.5000  4 P 2.53
2 Ta 0.0825 0.0825 0.0000  2 P 2.45
3 P 0.7092 0.2092 0.5000  6 Ta 2.45-2.53
4 Tl 0.4467 0.4467 0.0000  6 Ta 3.00-3.04, 2 Tl 3.36

Computed properties:
Polymorph energy (0 for the lowest one) in meV/atom: 89
N(E_F) in states/eV/f.u.: 2.44
E_tot in eV/cell: -31.39
Density in g cm⁻³: 12.51
ΔH_f (0 K) in eV per atom: 0.024
Size of the total moment in μB per formula unit: 0.00



13.
The following is a PBE-GGA calculation of a relaxed YW2Au crystal, from Alexandria.

Lattice parameters (Å, degrees): 2.8411 2.8411 9.2632 90.00 90.00 90.03
Closest atoms and distances in Å follow each position.
Fractional positions:
1 Y 0.5000 0.5000 0.2500  4 Y 2.84
2 W 0.0000 0.0000 0.9797  4 W 2.84, 4 Au 2.93
3 W 0.0000 0.0000 0.5203  4 W 2.84, 4 Au 2.93
4 Au 0.5000 0.5000 0.7500  4 Au 2.84, 8 W 2.93

Computed properties:
Polymorph energy (0 for the lowest one) in meV/atom: 399
N(E_F) in states/eV/f.u.: 3.19
E_tot in eV/cell: -33.50
Density in g cm⁻³: 14.51
ΔH_f (0 K) in eV per atom: 0.537
Size of the total moment in μB per formula unit: 0.00